1.
Mo2HAuBr (PBEsol, optimized geometry); mass density = 10.6 Mg/m³; VASP energy = -5.29 eV/atom; volume = 14.658 A^3/atom
1.0
4.898 0.000 0.000
0.000 4.898 0.000
0.000 0.000 3.055
Mo H Au Br
2 1 1 1
direct
0.000 0.500 0.000 Mo
0.500 0.000 0.000 Mo
0.000 0.000 0.500 H
0.500 0.500 0.500 Au
0.000 0.000 0.000 Br

2.
CoMoIr2 (PBEsol, optimized geometry); energy relative to the lowest polymorph listed for this composition = 0.0 meV per atom; mass density = 16.7 Mg/m³; DFT formation energy = -0.195 eV/atom; volume = 13.416 A^3/atom
1.0
-1.897 1.897 3.728
1.897 -1.897 3.728
1.897 1.897 -3.728
Co Mo Ir
1 1 2
direct
0.000 0.000 0.000 Co
0.500 0.500 0.000 Mo
0.250 0.750 0.500 Ir
0.750 0.250 0.500 Ir

3.
Nb3HRh (PBEsol, optimized geometry); mass density = 9.2 Mg/m³; VASP energy = -8.89 eV/atom; volume = 13.799 A^3/atom
1.0
4.101 0.000 0.000
0.000 4.101 0.000
0.000 0.000 4.101
Nb H Rh
3 1 1
direct
0.000 0.000 0.500 Nb
0.000 0.500 0.000 Nb
0.500 0.000 0.000 Nb
0.000 0.000 0.000 H
0.500 0.500 0.500 Rh

4.
BeO (PBEsol, optimized geometry); energy relative to the lowest polymorph listed for this composition = 0.0 meV per atom; uncorrected formation energy = -2.79 eV/atom; mass density = 3.0 Mg/m³; volume = 6.884 A^3/atom
1.0
2.696 0.000 0.000
-1.348 2.334 0.000
0.000 0.000 4.376
Be O
2 2
direct
0.333 0.667 0.000 Be
0.667 0.333 0.500 Be
0.333 0.667 0.622 O
0.667 0.333 0.122 O

5.
Tm2BeOs (PBEsol, optimized geometry); mass density = 12.2 Mg/m³; DFT formation energy = -0.146 eV/atom; volume = 18.274 A^3/atom
1.0
0.000 3.319 3.319
3.319 0.000 3.319
3.319 3.319 0.000
Tm Be Os
2 1 1
direct
0.250 0.250 0.250 Tm
0.750 0.750 0.750 Tm
0.000 0.000 0.000 Be
0.500 0.500 0.500 Os

6.
Zr4NiP (PBEsol, optimized geometry); mass density = 7.0 Mg/m³; DFT formation energy = -0.704 eV/atom; volume = 17.944 A^3/atom
1.0
6.395 0.000 0.000
0.000 6.395 0.000
0.000 0.000 5.265
Zr Ni P
8 2 2
direct
0.160 0.339 0.000 Zr
0.160 0.661 0.500 Zr
0.339 0.160 0.500 Zr
0.339 0.840 0.000 Zr
0.661 0.160 0.000 Zr
0.661 0.840 0.500 Zr
0.840 0.339 0.500 Zr
0.840 0.661 0.000 Zr
0.000 0.000 0.250 Ni
0.000 0.000 0.750 Ni
0.500 0.500 0.250 P
0.500 0.500 0.750 P